Record 1
Here is crystalline NdCrP2N6 at its relaxed geometry from Alexandria. Energies are from PBE-GGA.

Results
As for the calculated density: 4.33 Mg/m³. The value obtained for the uncorrected formation energy is -0.48 eV per atom.

a = 5.662 Å, b = 7.111 Å, c = 7.111 Å
α = 89.02°, β = 73.45°, γ = 73.45°
Site moments in Bohr magnetons follow the coordinates.
Positions (direct):
Nd 0.250 0.878 0.122  0.02
Nd 0.750 0.122 0.878  0.02
Cr 0.250 0.227 0.773  0.98
Cr 0.750 0.773 0.227  0.98
P 0.325 0.774 0.630  0.02
P 0.175 0.370 0.226  0.02
P 0.675 0.226 0.370  0.02
P 0.825 0.630 0.774  0.02
N 0.210 0.985 0.769  -0.02
N 0.290 0.231 0.015  -0.02
N 0.790 0.015 0.231  -0.02
N 0.710 0.769 0.985  -0.02
N 0.441 0.801 0.394  -0.03
N 0.059 0.606 0.199  -0.03
N 0.559 0.199 0.606  -0.03
N 0.941 0.394 0.801  -0.03
N 0.060 0.714 0.649  -0.01
N 0.440 0.351 0.286  -0.01
N 0.940 0.286 0.351  -0.01
N 0.560 0.649 0.714  -0.01

***

Record 2
Here is crystalline Pr3Nd4Ho8 at its relaxed geometry from Alexandria. Energies are from PBE-GGA.

Results
As for the calculated density: 7.48 Mg/m³. The value obtained for the energy of formation is 0.356 eV per atom.

a = 6.813 Å, b = 9.356 Å, c = 9.356 Å
α = 87.41°, β = 111.36°, γ = 111.36°
Positions (direct):
Pr 0.500 0.500 0.000
Pr 0.500 0.000 0.500
Pr 0.500 0.500 0.500
Nd 0.500 0.000 0.000
Nd 0.000 0.500 0.000
Nd 0.000 0.000 0.000
Nd 0.000 0.000 0.500
Ho 0.530 0.268 0.268
Ho 0.000 0.640 0.360
Ho 0.007 0.267 0.267
Ho 0.500 0.743 0.257
Ho 0.500 0.257 0.743
Ho 0.993 0.733 0.733
Ho 0.000 0.360 0.640
Ho 0.470 0.732 0.732

***

Record 3
Here is crystalline TaCo3Hg at its relaxed geometry from Alexandria. Energies are from PBE-GGA.

Results
As for the calculated density: 10.21 Mg/m³. Its distance to the lowest polymorph of the same formula is 0.0 meV per atom. The value obtained for the energy of formation is 1.303 eV per atom.

a = 4.495 Å, b = 4.495 Å, c = 4.495 Å
α = 90.00°, β = 90.00°, γ = 90.00°
Positions (direct):
Co 0.000 0.500 0.000
Co 0.000 0.000 0.500
Co 0.500 0.000 0.000
Hg 0.500 0.500 0.500
Ta 0.000 0.000 0.000